(1)
The following is a DFT calculation (SCAN) of a PBEsol-optimized structure of FePtCl2.

Cell lengths 6.359, 6.359, 6.359 Å; angles 90.00, 90.00, 90.00 degrees
Space group F-43m (No. 216)
One atom of each set of equivalent atoms:
Fe1 0.000 0.000 0.000 [4 per cell]
Pt1 0.250 0.250 0.250 [4 per cell]
Cl1 0.000 0.000 0.500 [4 per cell]
Cl2 0.250 0.250 0.750 [4 per cell]

Summary:
* formation energy without anion corrections: 0.435 eV per atom
* Fermi-level density of states: 0.25 states/eV/atom
* polymorph energy (0 for the lowest one): 855 meV/atom

***

(2)
The following is a DFT calculation (SCAN) of a PBEsol-optimized structure of FePtCl2.

Cell lengths 2.954, 3.976, 5.555 Å; angles 90.00, 90.00, 90.00 degrees
Space group Pmmm (No. 47)
One atom of each set of equivalent atoms:
Fe1 0.000 0.000 0.000 [1 per cell]
Pt1 0.500 0.000 0.500 [1 per cell]
Cl1 0.000 0.500 0.500 [1 per cell]
Cl2 0.500 0.500 0.000 [1 per cell]

Summary:
* formation energy without anion corrections: 0.184 eV per atom
* Fermi-level density of states: 0.57 states/eV/atom
* polymorph energy (0 for the lowest one): 604 meV/atom

***

(3)
The following is a DFT calculation (SCAN) of a PBEsol-optimized structure of FePtCl.

Cell lengths 2.842, 2.842, 11.839 Å; angles 90.00, 90.00, 90.00 degrees
Space group I4mm (No. 107)
One atom of each set of equivalent atoms:
Fe1 0.000 0.000 0.000 [2 per cell]
Pt1 0.000 0.000 0.640 [2 per cell]
Cl1 0.000 0.000 0.371 [2 per cell]

Summary:
* formation energy without anion corrections: -0.099 eV per atom
* Fermi-level density of states: 0.41 states/eV/atom
* polymorph energy (0 for the lowest one): 52 meV/atom

***

(4)
The following is a DFT calculation (SCAN) of a PBEsol-optimized structure of FePtCl2.

Cell lengths 6.286, 6.286, 6.286 Å; angles 90.00, 90.00, 90.00 degrees
Space group Fm-3m (No. 225)
One atom of each set of equivalent atoms:
Fe1 0.000 0.000 0.000 [4 per cell]
Pt1 0.000 0.000 0.500 [4 per cell]
Cl1 0.250 0.250 0.250 [8 per cell]

Summary:
* formation energy without anion corrections: 0.501 eV per atom
* Fermi-level density of states: 0.83 states/eV/atom
* polymorph energy (0 for the lowest one): 921 meV/atom

***

(5)
The following is a DFT calculation (SCAN) of a PBEsol-optimized structure of FePtCl.

Cell lengths 2.9060, 2.9060, 6.4159 Å; angles 90.00, 90.00, 120.00 degrees
Space group P3m1 (No. 156)
One atom of each set of equivalent atoms:
Fe1 0.0000 0.0000 0.0000 [1 per cell]
Pt1 0.3333 0.6667 0.6944 [1 per cell]
Cl1 0.6667 0.3333 0.2552 [1 per cell]

Summary:
* formation energy without anion corrections: -0.151 eV per atom
* Fermi-level density of states: 0.46 states/eV/atom
* polymorph energy (0 for the lowest one): 0 meV/atom

***

(6)
The following is a DFT calculation (SCAN) of a PBEsol-optimized structure of FePtCl2.

Cell lengths 3.447, 5.368, 8.174 Å; angles 90.00, 90.00, 90.00 degrees
Space group Cmm2 (No. 35)
One atom of each set of equivalent atoms:
Fe1 0.000 0.000 0.000 [2 per cell]
Pt1 0.000 0.500 0.798 [2 per cell]
Cl1 0.000 0.000 0.587 [2 per cell]
Cl2 0.000 0.500 0.194 [2 per cell]

Summary:
* formation energy without anion corrections: -0.221 eV per atom
* Fermi-level density of states: 0.44 states/eV/atom
* polymorph energy (0 for the lowest one): 199 meV/atom

***

(7)
The following is a DFT calculation (SCAN) of a PBEsol-optimized structure of FePtCl2.

Cell lengths 3.3666, 3.3666, 23.6192 Å; angles 90.00, 90.00, 120.00 degrees
Space group R3m (No. 160, hexagonal axes)
One atom of each set of equivalent atoms:
Fe1 0.0000 0.0000 0.0000 [3 per cell]
Pt1 0.0000 0.0000 0.7292 [3 per cell]
Cl1 0.0000 0.0000 0.2696 [3 per cell]
Cl2 0.0000 0.0000 0.4669 [3 per cell]

Summary:
* formation energy without anion corrections: -0.420 eV per atom
* Fermi-level density of states: 0.53 states/eV/atom
* polymorph energy (0 for the lowest one): 0 meV/atom

***

(8)
The following is a DFT calculation (SCAN) of a PBEsol-optimized structure of FePtSCl2.

Cell lengths 4.276, 4.276, 4.834 Å; angles 90.00, 90.00, 90.00 degrees
Space group P4/mmm (No. 123)
One atom of each set of equivalent atoms:
Fe1 0.000 0.000 0.000 [1 per cell]
Pt1 0.500 0.500 0.500 [1 per cell]
S1 0.000 0.000 0.500 [1 per cell]
Cl1 0.000 0.500 0.000 [2 per cell]

Summary:
* formation energy without anion corrections: 0.479 eV per atom
* Fermi-level density of states: 0.85 states/eV/atom